1.
Compound: BaIBr4
Source: the Alexandria database
Functional: PBE
Structure: optimized geometry

Properties
E_tot = -0.098 Ha/atom
total magnetic moment = 0.0 μB per formula unit
ΔE_f (raw) = -94.2 kJ/mol of atoms

Cell: 8.223 8.198 9.110 Å, 108.60 108.71 106.87°
Fractional positions:
1 Br 0.323 0.937 0.529
2 Br 0.931 0.236 0.991
3 Br 0.294 0.408 0.471
4 Br 0.440 0.245 0.009
5 Br 0.069 0.764 0.009
6 Br 0.677 0.063 0.471
7 Br 0.706 0.592 0.529
8 Br 0.560 0.755 0.991
9 I 0.910 0.160 0.320
10 I 0.090 0.840 0.680
11 Ba 0.658 0.408 0.816
12 Ba 0.342 0.592 0.184

2.
Compound: MgCdIr2
Source: the Alexandria database
Functional: PBE
Structure: optimized geometry

Properties
E_tot = -0.185 Ha/atom
total magnetic moment = 0.0 μB per formula unit
formation energy from the elements = 0.0117 eV per atom

Cell: 2.851 3.985 5.774 Å, 90.00 90.00 90.00°
Fractional positions:
1 Ir 0.000 0.000 0.021
2 Ir 0.500 0.500 0.244
3 Mg 0.000 0.000 0.481
4 Cd 0.500 0.500 0.754

3.
Compound: Zn2InOsO8
Source: the Alexandria database
Functional: PBE
Structure: optimized geometry

Properties
E_tot = -0.208 Ha/atom
total magnetic moment = 0.8 μB per formula unit
ΔE_f (raw) = -93.6 kJ/mol of atoms

Cell: 4.772 4.758 6.381 Å, 90.00 90.00 93.77°
Last column: magnetic moment on the atom in μB.
Fractional positions:
1 O 0.814 0.188 0.210  0.03
2 O 0.706 0.708 0.000  0.07
3 O 0.186 0.812 0.790  0.03
4 O 0.314 0.311 0.500  0.20
5 O 0.294 0.292 0.000  0.07
6 O 0.814 0.188 0.790  0.03
7 O 0.186 0.812 0.210  0.03
8 O 0.686 0.689 0.500  0.20
9 Os 0.000 0.000 0.000  -0.05
10 Zn 0.500 0.500 0.751  0.03
11 Zn 0.500 0.500 0.249  0.03
12 In 0.000 0.000 0.500  0.00